No. 1
Here is a relaxed Ac8Co4Ni crystal from Alexandria. Energies are from PBE-GGA.

a b c (Å): 10.3972 10.3972 13.8712
angles (deg): 130.23 130.23 23.68
Atoms (fractional coordinates):
Ac: 0.0000 0.0000 0.0000
Ac: 0.0216 0.0216 0.7391
Ac: 0.2974 0.2974 0.9248
Ac: 0.3263 0.3263 0.6663
Ac: 0.3663 0.3663 0.4059
Ac: 0.6217 0.6217 0.6023
Ac: 0.7013 0.7013 0.0650
Ac: 0.9521 0.9521 0.2635
Co: 0.0022 0.0022 0.5124
Co: 0.3211 0.3211 0.1517
Co: 0.5218 0.5218 0.8856
Co: 0.8069 0.8069 0.7981
Ni: 0.8349 0.8349 0.5198

Results
E_form ... 0.04 eV/atom
Size of the total moment ... 0.00 μB/atom



No. 2
Here is a relaxed Ba2HN crystal from Alexandria. Energies are from PBE-GGA.

a b c (Å): 3.9715 3.9715 6.9650
angles (deg): 90.00 90.00 120.00
Atoms (fractional coordinates):
Ba: 0.3333 0.6667 0.2202
Ba: 0.6667 0.3333 0.7798
H: 0.0000 0.0000 0.5000
N: 0.0000 0.0000 0.0000

Results
Total DFT energy (no corrections) ... -4.371 eV per atom
Size of the total moment ... 0.00 μB/atom



No. 3
Here is a relaxed Y3S2N crystal from Alexandria. Energies are from PBE-GGA.

a b c (Å): 7.1715 7.1715 7.1715
angles (deg): 147.46 60.76 130.19
Atoms (fractional coordinates):
Y: 0.0000 0.0000 0.0000
Y: 0.4577 0.1119 0.3458
Y: 0.7661 0.1119 0.6542
S: 0.1650 0.3185 0.8466
S: 0.4719 0.3185 0.1534
N: 0.8096 0.3096 0.5000

Results
Uncorrected formation energy ... -1.579 eV/atom
ΔE to the lowest computed polymorph ... 267 meV/atom
Size of the total moment ... 0.00 μB/atom



No. 4
Here is a relaxed CeNiRh3 crystal from Alexandria. Energies are from PBE-GGA.

a b c (Å): 6.2616 6.2616 4.8561
angles (deg): 90.00 90.00 109.64
Atoms (fractional coordinates):
Ce: 0.0646 0.9354 0.7500
Ce: 0.9354 0.0646 0.2500
Ni: 0.2813 0.7187 0.7500
Ni: 0.7187 0.2813 0.2500
Rh: 0.0056 0.3518 0.7500
Rh: 0.3518 0.0056 0.2500
Rh: 0.5000 0.5000 0.0000
Rh: 0.5000 0.5000 0.5000
Rh: 0.6482 0.9944 0.7500
Rh: 0.9944 0.6482 0.2500

Results
E_form ... 0.27 eV/atom
Size of the total moment ... 0.02 μB/atom



What DOS at the Fermi energy values result from the calculations? In sequence: 7.9 0.0 3.8 11.1 states/eV/cell.
What volume values result from the calculations? In sequence: 452 95 150 179 Å³/cell.